Below is a relaxed structure of Pm4Y3TmS8, with properties calculated at the GGA-PBE level.

The value obtained for the total moment is 0.000 μB per atom. For the calculated total energy, the calculation gives -324.03 eV for the cell shown. The uncorrected formation energy is -2.008 eV per atom.

abc: 7.8876 7.8876 19.6803
angles: 90.00 90.00 120.00
Space group R-3m (No. 166, hexagonal axes)
One atom of each set of equivalent atoms:
Pm (0.0000, 0.0000, 0.0000) [3 per cell]
Pm (0.0000, 0.5000, 0.0000) [9 per cell]
Y (0.0000, 0.5000, 0.5000) [9 per cell]
Tm (0.0000, 0.0000, 0.5000) [3 per cell]
S (0.0000, 0.0000, 0.2460) [6 per cell]
S (0.0037, 0.5019, 0.2451) [18 per cell]